Compound: Na3La3IO8
Source: Alexandria via LeMat-Bulk
Functional: PBE
Structure: relaxed

The volume is 17.187 Å³/atom. The calculation puts the total DFT energy (no corrections) at -6.09 eV per atom. Its energy relative to the elements, uncorrected is -2.09 eV/atom.

The structure belongs to space group C2/m (No. 12); the cell edges are 11.6609, 7.4705 and 7.0136 Å and the angles 90.00°, 122.44° and 90.00°. The inequivalent atoms are Na at (0.0000, 0.0000, 0.0000), Na at (0.2500, 0.2500, 0.5000), La at (0.0000, 0.5000, 0.5000), La at (0.2500, 0.2500, 0.0000), I at (0.0000, 0.0000, 0.5000), O at (0.0078, 0.2454, 0.7221), O at (0.2168, 0.0000, 0.7387) and O at (0.2438, 0.5000, 0.7740).